[1]
# TaCdMo

An optimized crystal structure of TaCdMo (PBE, Alexandria).

```
TaCdMo
1.0
-3.240 1.207 3.797
-1.845 -3.768 2.962
4.027 2.674 -1.734
Cd Ta Mo
1 1 1
direct
0.999 0.999 0.000 Cd
0.669 0.669 0.000 Ta
0.332 0.332 0.000 Mo
```

Results
Total moment in μB per formula unit: 0.00
Formation energy from the elements in meV/atom: 349
VASP energy in eV/f.u.: -22.6
Energy above the most stable polymorph in this dataset in eV/atom: 0.127



[2]
# Li2CdRhBr

An optimized crystal structure of Li2CdRhBr (PBE, Alexandria).

```
Li2CdRhBr
1.0
4.896 0.000 0.000
0.000 4.896 0.000
0.000 0.000 5.151
Li Br Cd Rh
2 1 1 1
direct
0.500 0.000 0.000 Li
0.000 0.500 0.000 Li
0.500 0.500 0.500 Br
0.000 0.000 0.500 Cd
0.000 0.000 0.000 Rh
```

Results
Total moment in μB per formula unit: 0.35
ΔE_f (raw) in eV/atom: 0.036
VASP energy in eV/f.u.: -13.6



[3]
# RbIr2S4

An optimized crystal structure of RbIr2S4 (PBE, Alexandria).

```
RbIr2S4
1.0
-0.881 -2.407 -6.982
4.656 5.758 0.705
2.351 -6.272 3.234
Ir S Rb
4 8 2
direct
0.375 0.250 0.625 Ir
0.375 0.750 0.125 Ir
0.375 0.750 0.625 Ir
0.875 0.250 0.625 Ir
0.134 0.675 0.809 S
0.191 0.325 0.866 S
0.616 0.175 0.791 S
0.541 0.675 0.866 S
0.616 0.825 0.441 S
0.559 0.175 0.384 S
0.209 0.825 0.384 S
0.134 0.325 0.459 S
0.750 0.500 0.250 Rb
0.000 0.000 0.000 Rb
```

Results
Total moment in μB per formula unit: 0.00
ΔE_f (raw) in eV/atom: -0.330
VASP energy in eV/f.u.: -37.5



[4]
# Dy2PuAgO6

An optimized crystal structure of Dy2PuAgO6 (PBE, Alexandria).

```
Dy2PuAgO6
1.0
5.848 0.000 0.000
2.924 5.065 0.000
2.924 1.688 5.160
O Dy Pu Ag
6 2 1 1
direct
0.935 0.596 0.226 O
0.596 0.244 0.226 O
0.244 0.935 0.226 O
0.702 0.157 0.763 O
0.157 0.378 0.763 O
0.378 0.702 0.763 O
0.528 0.528 0.416 Dy
0.013 0.013 0.961 Dy
0.320 0.320 0.039 Pu
0.789 0.789 0.634 Ag
```

Results
Total moment in μB per formula unit: 3.00
ΔE_f (raw) in eV/atom: -2.705
VASP energy in eV/f.u.: -83.2



> Which value of VASP energy does entry 3 give?

-37.5 eV/f.u.



Copy entry 2 word for word.
# Li2CdRhBr

An optimized crystal structure of Li2CdRhBr (PBE, Alexandria).

```
Li2CdRhBr
1.0
4.896 0.000 0.000
0.000 4.896 0.000
0.000 0.000 5.151
Li Br Cd Rh
2 1 1 1
direct
0.500 0.000 0.000 Li
0.000 0.500 0.000 Li
0.500 0.500 0.500 Br
0.000 0.000 0.500 Cd
0.000 0.000 0.000 Rh
```

Results
Total moment in μB per formula unit: 0.35
ΔE_f (raw) in eV/atom: 0.036
VASP energy in eV/f.u.: -13.6